TbTm2Mg3In3 | GGA-PBE | optimized geometry

Computed properties:
* raw total energy: -3.31 eV/atom

Cell: 4.655 12.985 7.442 Å, 90.00 90.00 90.00°
Space group Amm2 (No. 38)
Symmetry-distinct sites (fractional):
Tb  0.000  0.000  0.000 x2
Tm  0.000  0.218  0.346 x4
Mg  0.500  0.000  0.322 x2
Mg  0.500  0.121  0.684 x4
In  0.000  0.000  0.560 x2
In  0.500  0.168  0.064 x4